Below is an optimized crystal structure of AcTmMgCd, with properties calculated at the PBE level.

a b c (Å): 5.547 5.547 5.547
angles (deg): 60.00 60.00 60.00
Fractional coordinates of all 4 atoms:
Cd  0.750  0.750  0.750
Mg  0.250  0.250  0.250
Tm  0.500  0.500  0.500
Ac  0.000  0.000  0.000

Output
DOS at the Fermi energy	4.86	states/eV/cell
space group	No. 216
ΔE to the lowest computed polymorph	26	meV/atom
formation enthalpy at 0 K	-3.15	kcal/mol of atoms


Below is an optimized crystal structure of AcTmMgCd, with properties calculated at the PBE level.

a b c (Å): 3.862 3.862 8.016
angles (deg): 90.00 90.00 90.00
Fractional coordinates of all 4 atoms:
Cd  0.000  0.000  0.316
Ac  0.500  0.500  0.606
Mg  0.000  0.000  0.892
Tm  0.500  0.500  0.113

Output
DOS at the Fermi energy	4.68	states/eV/cell
space group	No. 99
ΔE to the lowest computed polymorph	0	meV/atom
formation enthalpy at 0 K	-3.76	kcal/mol of atoms


Below is an optimized crystal structure of Ac2TmMg3Cd12, with properties calculated at the PBE level.

a b c (Å): 7.898 7.898 7.898
angles (deg): 86.12 86.12 86.12
Fractional coordinates of all 18 atoms:
Cd  0.719  0.202  0.202
Cd  0.798  0.281  0.798
Ac  0.291  0.291  0.291
Ac  0.709  0.709  0.709
Cd  0.136  0.582  0.582
Cd  0.202  0.202  0.719
Mg  0.000  0.500  0.000
Cd  0.418  0.418  0.864
Cd  0.582  0.582  0.136
Cd  0.418  0.864  0.418
Mg  0.000  0.000  0.500
Mg  0.500  0.000  0.000
Cd  0.202  0.719  0.202
Cd  0.281  0.798  0.798
Tm  0.000  0.000  0.000
Cd  0.864  0.418  0.418
Cd  0.582  0.136  0.582
Cd  0.798  0.798  0.281

Output
DOS at the Fermi energy	9.23	states/eV/cell
space group	No. 166
formation enthalpy at 0 K	-0.69	kcal/mol of atoms